DFT (GGA-PBE) results for RbVOsPd2 after structural relaxation.

```
RbVOsPd2
1.0
4.939 0.000 0.000
0.000 4.478 0.000
0.000 0.000 4.939
Pd Os Rb V
2 1 1 1
Cartesian
2.469 0.000 0.000
0.000 0.000 2.469
0.000 2.239 0.000
2.469 2.239 2.469
0.000 0.000 0.000
```

Results
Total energy ... -5.440 eV/atom
Energy relative to the lowest polymorph listed for this composition ... 0.000 eV per atom
Energy of formation from the pure elements ... 0.90 eV per atom
Space-group type ... No. 123